# CsNa2BeW

A geometry-optimized CsNa2BeW structure (PBE-GGA, Alexandria).

Unit cell a=5.9489 b=5.9489 c=5.4970 alpha=90.00 beta=90.00 gamma=90.00
With the nearest neighbours (Å) after each atom.
Space group P4/mmm (No. 123)
Asymmetric unit:
Cs  0.0000  0.0000  0.0000  2 Be 2.75, 4 Na 2.97
Na  0.0000  0.5000  0.0000  2 Cs 2.97
Be  0.0000  0.0000  0.5000  2 Cs 2.75
W  0.5000  0.5000  0.5000  8 Na 4.05, 4 Be 4.21

final energy: -8.248 eV for the cell shown
size of the total moment: 4.36 μB per formula unit